Entry from Alexandria via LeMat-Bulk: a geometry-optimized YAsSe2 structure (PBE).

Unit cell a=3.7854 b=3.8314 c=8.6880 alpha=61.81 beta=90.00 gamma=90.00
Positions (direct):
Se  0.0000  0.4172  0.7936
Se  0.5000  0.8979  0.3599
Y  0.0000  0.2543  0.4954
As  0.5000  0.9306  0.8511

Results
**SG**: No. 6
**Formation energy (no corrections)**: -1.009 eV per atom

***

Entry from Alexandria via LeMat-Bulk: a geometry-optimized Y5AsSe4 structure (PBE).

Unit cell a=4.0989 b=5.7728 c=10.8476 alpha=105.43 beta=100.89 gamma=90.00
Positions (direct):
Y  0.4034  0.9034  0.8067
Se  0.6008  0.6008  0.2016
Y  0.7993  0.2993  0.5986
Y  0.2007  0.7007  0.4014
As  0.0000  0.0000  0.0000
Se  0.1993  0.1993  0.3986
Se  0.8007  0.8007  0.6014
Y  0.0000  0.5000  0.0000
Y  0.5966  0.0966  0.1933
Se  0.3992  0.3992  0.7984

Results
**SG**: No. 71
**Formation energy (no corrections)**: -1.754 eV per atom

***

Entry from Alexandria via LeMat-Bulk: a geometry-optimized YAsSe2 structure (PBE).

Unit cell a=4.0050 b=4.0050 c=5.9810 alpha=90.00 beta=90.00 gamma=90.00
Positions (direct):
As  0.5000  0.5000  0.8539
Se  0.0000  0.0000  0.8949
Se  0.5000  0.5000  0.3215
Y  0.0000  0.0000  0.4297

Results
**SG**: No. 99
**Formation energy (no corrections)**: -0.844 eV per atom

***

Entry from Alexandria via LeMat-Bulk: a geometry-optimized Y3As2Se structure (PBE).

Unit cell a=4.1143 b=5.8191 c=7.1184 alpha=114.13 beta=106.80 gamma=90.00
Positions (direct):
Y  0.5000  0.0000  0.5000
As  0.1651  0.1651  0.8302
Se  0.5000  0.5000  0.5000
Y  0.8274  0.3274  0.1548
Y  0.1726  0.6726  0.8452
As  0.8349  0.8349  0.1698

Results
**SG**: No. 71
**Formation energy (no corrections)**: -1.691 eV per atom

***

Entry from Alexandria via LeMat-Bulk: a geometry-optimized YAsSe structure (PBE).

Unit cell a=4.7406 b=4.7406 c=3.7632 alpha=90.00 beta=90.00 gamma=120.00
Positions (direct):
As  0.0000  0.0000  0.9999
Y  0.3333  0.6667  0.5005
Se  0.6667  0.3333  0.4996

Results
**SG**: No. 187
**Formation energy (no corrections)**: -0.705 eV per atom

***

Entry from Alexandria via LeMat-Bulk: a geometry-optimized YAsSe structure (PBE).

Unit cell a=4.8393 b=4.8393 c=4.8393 alpha=60.00 beta=60.00 gamma=60.00
Positions (direct):
Se  0.5000  0.5000  0.5000
Y  0.7500  0.7500  0.7500
As  0.0000  0.0000  0.0000

Results
**SG**: No. 216
**Formation energy (no corrections)**: -0.784 eV per atom

***

Entry from Alexandria via LeMat-Bulk: a geometry-optimized Y6AsSe5 structure (PBE).

Unit cell a=7.1002 b=7.0859 c=7.0911 alpha=60.02 beta=80.45 gamma=70.61
Positions (direct):
Se  0.5000  0.8307  0.3385
Y  0.7565  0.0814  0.3245
Se  0.0000  0.6666  0.6668
Y  0.7556  0.7564  0.0000
Se  0.5000  0.5000  0.0000
Se  0.5000  0.1693  0.6615
Y  0.2444  0.2436  0.0000
Y  0.2435  0.9186  0.6755
Y  0.2435  0.5941  0.3245
Y  0.7565  0.4059  0.6755
Se  0.0000  0.3334  0.3332
As  0.0000  0.0000  0.0000

Results
**SG**: No. 12
**Formation energy (no corrections)**: -1.762 eV per atom

***

Entry from Alexandria via LeMat-Bulk: a geometry-optimized YAsSe structure (PBE).

Unit cell a=5.7925 b=5.7929 c=3.8568 alpha=70.55 beta=70.56 gamma=38.89
Positions (direct):
As  0.9516  0.9516  0.0484
Y  0.3440  0.3440  0.6560
Se  0.7044  0.7044  0.2956

Results
**SG**: No. 107
**Formation energy (no corrections)**: -1.014 eV per atom

***

Entry from Alexandria via LeMat-Bulk: a geometry-optimized YZnAsSe2 structure (PBE).

Unit cell a=4.9678 b=4.9678 c=4.7621 alpha=90.00 beta=90.00 gamma=90.00
Positions (direct):
Zn  0.0000  0.0000  0.0000
As  0.0000  0.0000  0.5000
Y  0.5000  0.5000  0.5000
Se  0.0000  0.5000  0.0000
Se  0.5000  0.0000  0.0000

Results
**SG**: No. 123
**Formation energy (no corrections)**: -0.282 eV per atom

***

Entry from Alexandria via LeMat-Bulk: a geometry-optimized YZnAsSe2 structure (PBE).

Unit cell a=5.4307 b=5.4307 c=5.6227 alpha=90.00 beta=90.00 gamma=90.00
Site moments in Bohr magnetons follow the coordinates.
Positions (direct):
Se  0.0000  0.5000  0.0000  0.10
As  0.0000  0.0000  0.5000  0.33
Se  0.5000  0.0000  0.0000  0.10
Zn  0.5000  0.5000  0.5000  0.00
Y  0.0000  0.0000  0.0000  0.01

Results
**SG**: No. 123
**Formation energy (no corrections)**: 0.030 eV per atom

***

Entry from Alexandria via LeMat-Bulk: a geometry-optimized YZrAs2Se structure (PBE).

Unit cell a=5.1393 b=5.1393 c=5.1532 alpha=90.00 beta=90.00 gamma=90.00
Positions (direct):
As  0.0000  0.5000  0.0000
Se  0.0000  0.0000  0.5000
As  0.5000  0.0000  0.0000
Zr  0.0000  0.0000  0.0000
Y  0.5000  0.5000  0.5000

Results
**SG**: No. 123
**Formation energy (no corrections)**: -0.508 eV per atom

***

Entry from Alexandria via LeMat-Bulk: a geometry-optimized YZrAsSe2 structure (PBE).

Unit cell a=5.2547 b=5.2547 c=5.3730 alpha=90.00 beta=90.00 gamma=90.00
Positions (direct):
Y  0.0000  0.0000  0.0000
As  0.0000  0.0000  0.5000
Zr  0.5000  0.5000  0.5000
Se  0.0000  0.5000  0.0000
Se  0.5000  0.0000  0.0000

Results
**SG**: No. 123
**Formation energy (no corrections)**: -0.015 eV per atom

***

Entry from Alexandria via LeMat-Bulk: a geometry-optimized YZrAs2Se structure (PBE).

Unit cell a=5.2764 b=5.2764 c=5.2445 alpha=90.00 beta=90.00 gamma=90.00
Positions (direct):
As  0.0000  0.5000  0.0000
As  0.5000  0.0000  0.0000
Zr  0.5000  0.5000  0.5000
Y  0.0000  0.0000  0.0000
Se  0.0000  0.0000  0.5000

Results
**SG**: No. 123
**Formation energy (no corrections)**: 0.254 eV per atom

***

Entry from Alexandria via LeMat-Bulk: a geometry-optimized YZrAsSe2 structure (PBE).

Unit cell a=5.1080 b=5.1080 c=5.2580 alpha=90.00 beta=90.00 gamma=90.00
Positions (direct):
Zr  0.0000  0.0000  0.0000
As  0.0000  0.0000  0.5000
Se  0.0000  0.5000  0.0000
Y  0.5000  0.5000  0.5000
Se  0.5000  0.0000  0.0000

Results
**SG**: No. 123
**Formation energy (no corrections)**: -0.739 eV per atom

***

Entry from Alexandria via LeMat-Bulk: a geometry-optimized ZnAsSe2 structure (PBE).

Unit cell a=3.9213 b=3.9213 c=5.5063 alpha=90.00 beta=90.00 gamma=90.00
Positions (direct):
Se  0.5000  0.5000  0.4045
Zn  0.0000  0.0000  0.3613
As  0.5000  0.5000  0.8538
Se  0.0000  0.0000  0.8805

Results
**SG**: No. 99
**Formation energy (no corrections)**: -0.162 eV per atom

***

Entry from Alexandria via LeMat-Bulk: a geometry-optimized ZnAsSe2 structure (PBE).

Unit cell a=11.3100 b=11.3100 c=11.3100 alpha=15.24 beta=15.24 gamma=15.24
Site moments in Bohr magnetons follow the coordinates.
Positions (direct):
Se  0.2266  0.2266  0.2266  0.14
Se  0.0066  0.0066  0.0066  0.01
As  0.7694  0.7694  0.7694  0.01
Zn  0.4974  0.4974  0.4974  0.01

Results
**SG**: No. 160
**Formation energy (no corrections)**: 0.344 eV per atom

***

Entry from Alexandria via LeMat-Bulk: a geometry-optimized ZnAsSe2 structure (PBE).

Unit cell a=8.9526 b=8.9526 c=8.9526 alpha=156.49 beta=156.49 gamma=33.49
Positions (direct):
Se  0.0000  0.0000  0.0000
Se  0.2500  0.7500  0.5000
Zn  0.5000  0.5000  0.0000
As  0.7500  0.2500  0.5000

Results
**SG**: No. 119
**Formation energy (no corrections)**: 0.087 eV per atom

***

Entry from Alexandria via LeMat-Bulk: a geometry-optimized ZnAsSe3 structure (PBE).

Unit cell a=5.0381 b=5.0381 c=5.0381 alpha=90.00 beta=90.00 gamma=90.00
Positions (direct):
Zn  0.5000  0.5000  0.5000
As  0.0000  0.0000  0.0000
Se  0.5000  0.0000  0.0000
Se  0.0000  0.0000  0.5000
Se  0.0000  0.5000  0.0000

Results
**SG**: No. 221
**Formation energy (no corrections)**: 0.483 eV per atom

***

Entry from Alexandria via LeMat-Bulk: a geometry-optimized ZnAsSe2 structure (PBE).

Unit cell a=6.7097 b=6.7097 c=6.7097 alpha=33.94 beta=33.94 gamma=33.94
Positions (direct):
Se  0.5009  0.5009  0.5009
Zn  0.2500  0.2500  0.2500
Se  0.9991  0.9991  0.9991
As  0.7500  0.7500  0.7500

Results
**SG**: No. 166
**Formation energy (no corrections)**: -0.135 eV per atom

***

Entry from Alexandria via LeMat-Bulk: a geometry-optimized ZnAs3Se structure (PBE).

Unit cell a=4.8286 b=4.8286 c=4.8286 alpha=90.00 beta=90.00 gamma=90.00
Positions (direct):
As  0.0000  0.0000  0.5000
Zn  0.0000  0.0000  0.0000
As  0.5000  0.0000  0.0000
As  0.0000  0.5000  0.0000
Se  0.5000  0.5000  0.5000

Results
**SG**: No. 221
**Formation energy (no corrections)**: 0.788 eV per atom